VASP calculation (PBE) on a relaxed LiNd2Bi crystal.

Output
total magnetization	1.08	μB per cell
VASP energy	-16.80	eV/f.u.
DOS(E_F)	4.56	states/eV per cell

Cell: 4.2012 4.2012 6.6937 Å, 90.00 90.00 90.00°
Last column: nearest neighbours and their distance in Å.
Space group P4/mmm (No. 123)
Asymmetric unit:
Li1 0.0000 0.0000 0.0000 (multiplicity 1)  2 Bi 3.35, 8 Nd 3.42
Nd1 0.5000 0.5000 0.2538 (multiplicity 2)  2 Nd 3.30-3.40, 4 Bi 3.40, 4 Li 3.42
Bi1 0.0000 0.0000 0.5000 (multiplicity 1)  2 Li 3.35, 8 Nd 3.40

=====

VASP calculation (PBE) on a relaxed Li2NdBi crystal.

Output
total magnetization	0.00	μB per cell
VASP energy	-14.23	eV/f.u.
DOS(E_F)	1.23	states/eV per cell

Cell: 4.5763 4.5763 4.9700 Å, 90.00 90.00 90.00°
Last column: nearest neighbours and their distance in Å.
Space group P4/mmm (No. 123)
Asymmetric unit:
Li1 0.0000 0.5000 0.0000 (multiplicity 2)  4 Li 3.24, 4 Bi 3.38, 4 Nd 3.38
Nd1 0.0000 0.0000 0.5000 (multiplicity 1)  4 Bi 3.24, 8 Li 3.38
Bi1 0.5000 0.5000 0.5000 (multiplicity 1)  4 Nd 3.24, 8 Li 3.38

=====

VASP calculation (PBE) on a relaxed Li6NdBi4 crystal.

Output
total magnetization	0.00	μB per cell
VASP energy	-36.90	eV/f.u.
DOS(E_F)	6.15	states/eV per cell

Cell: 8.1653 8.1653 4.5002 Å, 90.00 90.00 120.00°
Last column: nearest neighbours and their distance in Å.
Space group P-6m2 (No. 187)
Asymmetric unit:
Li1 0.0652 0.5326 0.0000 (multiplicity 3)  5 Bi 2.82-3.04
Li2 0.4270 0.2135 0.5000 (multiplicity 3)  4 Bi 2.81-2.82, 2 Li 2.93
Nd1 0.0000 0.0000 0.0000 (multiplicity 1)  6 Bi 3.40, 6 Li 3.77
Bi1 0.1802 0.3603 0.5000 (multiplicity 3)  6 Li 2.81-3.04
Bi2 0.6667 0.3333 0.0000 (multiplicity 1)  9 Li 2.82

=====

VASP calculation (PBE) on a relaxed LiNd2Bi crystal.

Output
total magnetization	0.00	μB per cell
VASP energy	-17.10	eV/f.u.
DOS(E_F)	13.43	states/eV per cell

Cell: 7.0355 8.8189 7.4200 Å, 90.00 90.00 90.00°
Last column: nearest neighbours and their distance in Å.
Space group Imma (No. 74)
Asymmetric unit:
Li1 0.0000 0.2500 0.0447 (multiplicity 4)  1 Bi 3.08, 8 Nd 3.36-3.44
Nd1 0.2500 0.0246 0.7500 (multiplicity 8)  4 Li 3.36-3.44, 4 Bi 3.37-3.42, 4 Nd 3.52-3.74
Bi1 0.0000 0.2500 0.4594 (multiplicity 4)  1 Li 3.08, 8 Nd 3.37-3.42

=====

VASP calculation (PBE) on a relaxed Li2Nd5Bi5 crystal.

Output
total magnetization	2.55	μB per cell
VASP energy	-55.21	eV/f.u.
DOS(E_F)	11.96	states/eV per cell

Cell: 15.1856 4.5292 12.6437 Å, 90.00 115.86 90.00°
Last column: nearest neighbours and their distance in Å.
Space group C2/m (No. 12)
Asymmetric unit:
Li1 0.0733 0.0000 0.2844 (multiplicity 4)  3 Bi 2.78-2.91
Nd1 0.0000 0.5000 0.0000 (multiplicity 2)  6 Bi 3.22-3.50
Nd2 0.1557 0.5000 0.5208 (multiplicity 4)  5 Bi 3.20-3.41, 2 Li 3.52
Nd3 0.2134 0.5000 0.8365 (multiplicity 4)  5 Bi 3.15-3.36
Bi1 0.0000 0.0000 0.5000 (multiplicity 2)  4 Nd 3.20, 2 Li 3.36
Bi2 0.1053 0.0000 0.9143 (multiplicity 4)  1 Li 2.78
Bi3 0.1931 0.5000 0.2827 (multiplicity 4)  2 Li 2.91

=====

VASP calculation (PBE) on a relaxed Li4NdBi2 crystal.

Output
total magnetization	0.03	μB per cell
VASP energy	-24.23	eV/f.u.
DOS(E_F)	8.69	states/eV per cell

Cell: 8.3543 8.3543 4.6169 Å, 90.00 90.00 90.00°
Last column: nearest neighbours and their distance in Å.
Space group P4_2/mnm (No. 136)
Asymmetric unit:
Li1 0.0998 0.3426 0.0000 (multiplicity 8)  3 Bi 2.82-2.83, 2 Li 2.87-3.11
Nd1 0.0000 0.0000 0.5000 (multiplicity 2)  6 Bi 3.40-3.41, 12 Li 3.59-3.77
Bi1 0.2113 0.7887 0.0000 (multiplicity 4)  6 Li 2.82-2.83

=====

VASP calculation (PBE) on a relaxed LiNd2Bi crystal.

Output
total magnetization	0.00	μB per cell
VASP energy	-16.89	eV/f.u.
DOS(E_F)	14.00	states/eV per cell

Cell: 7.7125 7.7125 7.7125 Å, 90.00 90.00 90.00°
Last column: nearest neighbours and their distance in Å.
Space group Fm-3m (No. 225)
Asymmetric unit:
Li1 0.0000 0.0000 0.0000 (multiplicity 4)  8 Nd 3.34
Nd1 0.2500 0.2500 0.2500 (multiplicity 8)  4 Li 3.34, 4 Bi 3.34
Bi1 0.0000 0.0000 0.5000 (multiplicity 4)  8 Nd 3.34

=====

VASP calculation (PBE) on a relaxed Li2NdBi crystal.

Output
total magnetization	1.51	μB per cell
VASP energy	-13.79	eV/f.u.
DOS(E_F)	13.28	states/eV per cell

Cell: 7.1195 7.1195 7.1195 Å, 90.00 90.00 90.00°
Last column: nearest neighbours and their distance in Å.
Space group Fm-3m (No. 225)
Asymmetric unit:
Li1 0.2500 0.2500 0.2500 (multiplicity 8)  4 Bi 3.08, 4 Nd 3.08
Nd1 0.0000 0.0000 0.0000 (multiplicity 4)  8 Li 3.08
Bi1 0.0000 0.0000 0.5000 (multiplicity 4)  8 Li 3.08

=====

VASP calculation (PBE) on a relaxed LiNdBi3 crystal.

Output
total magnetization	0.00	μB per cell
VASP energy	-20.96	eV/f.u.
DOS(E_F)	5.64	states/eV per cell

Cell: 13.9806 6.3332 6.5833 Å, 90.00 90.00 90.00°
Last column: nearest neighbours and their distance in Å.
Space group Pbcm (No. 57)
Asymmetric unit:
Li1 0.1108 0.2500 0.0000 (multiplicity 4)  6 Bi 3.03-3.35, 2 Li 3.29
Nd1 0.3140 0.5119 0.2500 (multiplicity 4)  9 Bi 3.23-3.55
Bi1 0.0755 0.7036 0.2500 (multiplicity 4)  4 Li 3.09-3.35, 3 Bi 3.14-3.34
Bi2 0.2543 0.0041 0.2500 (multiplicity 4)  2 Li 3.03, 1 Bi 3.14, 2 Nd 3.23-3.32
Bi3 0.4958 0.2500 0.0000 (multiplicity 4)  4 Bi 3.17-3.29, 4 Nd 3.45-3.47

=====

VASP calculation (PBE) on a relaxed LiNd2Bi crystal.

Output
total magnetization	0.00	μB per cell
VASP energy	-15.01	eV/f.u.
DOS(E_F)	15.58	states/eV per cell

Cell: 3.5317 3.5317 35.7192 Å, 90.00 90.00 120.00°
Last column: nearest neighbours and their distance in Å.
Space group R-3m (No. 166, hexagonal axes)
Asymmetric unit:
Li1 0.0000 0.0000 0.0000 (multiplicity 3)  6 Nd 3.40, 6 Li 3.53
Nd1 0.0000 0.0000 0.4096 (multiplicity 6)  1 Bi 3.23, 3 Li 3.40, 6 Nd 3.53
Bi1 0.0000 0.0000 0.5000 (multiplicity 3)  2 Nd 3.23, 6 Bi 3.53

=====

VASP calculation (PBE) on a relaxed Li2Nd3Bi3 crystal.

Output
total magnetization	6.18	μB per cell
VASP energy	-35.62	eV/f.u.
DOS(E_F)	14.96	states/eV per cell

Cell: 4.5679 12.1445 15.9637 Å, 90.00 90.00 90.00°
Last column: nearest neighbours and their distance in Å.
Space group Cmcm (No. 63)
Asymmetric unit:
Li1 0.0000 0.2295 0.0978 (multiplicity 8)  4 Bi 2.71-2.91
Nd1 0.0000 0.0696 0.6074 (multiplicity 8)  3 Li 3.35-3.64, 6 Bi 3.35-3.45
Nd2 0.0000 0.3593 0.7500 (multiplicity 4)  5 Bi 3.22-3.48, 4 Li 3.50
Bi1 0.0000 0.3542 0.2500 (multiplicity 4)  2 Li 2.86
Bi2 0.0000 0.3721 0.5488 (multiplicity 8)  3 Li 2.71-2.91

=====

VASP calculation (PBE) on a relaxed Li2NdBiO crystal.

Output
total magnetization	0.00	μB per cell
VASP energy	-24.75	eV/f.u.
uncorrected formation energy	-1463	meV per atom
DOS(E_F)	1.44	states/eV per cell

Cell: 6.4147 6.4147 9.5018 Å, 90.00 90.00 90.00°
Last column: nearest neighbours and their distance in Å.
Space group I4/mcm (No. 140)
Asymmetric unit:
Li1 0.2494 0.2506 0.0000 (multiplicity 8)  2 O 2.27
Nd1 0.0000 0.0000 0.2500 (multiplicity 4)  2 O 2.38
Bi1 0.0000 0.5000 0.2500 (multiplicity 4)  4 Nd 3.21, 8 Li 3.28-3.29
O1 0.0000 0.0000 0.0000 (multiplicity 4)  4 Li 2.27, 2 Nd 2.38